No. 1
DFT (PBE-GGA) results for Y2BeB after structural relaxation.

## Properties
- E (eV per atom) = -5.336
- space group = I-42d, No. 122
- ΔE to the lowest computed polymorph (meV/atom) = 317
- formation energy (kJ/mol of formula units) = 192
- volume (A^3/atom) = 21.6

abc: 7.1153 7.1153 6.8200
angles: 90.00 90.00 90.00
Closest atoms and distances in Å follow each position.
Positions (direct):
Y  0.2119  0.2500  0.1250  2 B 2.48
Y  0.2500  0.7119  0.3750  2 B 2.48
Y  0.2500  0.7881  0.8750  2 B 2.48
Y  0.2881  0.2500  0.6250  2 B 2.48
Y  0.7119  0.7500  0.6250  2 B 2.48
Y  0.7500  0.2119  0.8750  2 B 2.48
Y  0.7500  0.2881  0.3750  2 B 2.48
Y  0.7881  0.7500  0.1250  2 B 2.48
Be  0.0000  0.0000  0.5000  4 Y 2.85
Be  0.0000  0.5000  0.7500  4 Y 2.85
Be  0.5000  0.0000  0.2500  4 Y 2.85
Be  0.5000  0.5000  0.0000  4 Y 2.85
B  0.0000  0.0000  0.0000  4 Y 2.48
B  0.0000  0.5000  0.2500  4 Y 2.48
B  0.5000  0.0000  0.7500  4 Y 2.48
B  0.5000  0.5000  0.5000  4 Y 2.48

No. 2
DFT (PBE-GGA) results for Y3BeB after structural relaxation.

## Properties
- E (eV per atom) = -5.717
- space group = Pm-3m, No. 221
- ΔE to the lowest computed polymorph (meV/atom) = 0
- formation energy (kJ/mol of formula units) = 117
- volume (A^3/atom) = 24.9

abc: 4.9917 4.9917 4.9917
angles: 90.00 90.00 90.00
Closest atoms and distances in Å follow each position.
Positions (direct):
Y  0.0000  0.0000  0.5000  2 B 2.50
Y  0.0000  0.5000  0.0000  2 B 2.50
Y  0.5000  0.0000  0.0000  2 B 2.50
Be  0.5000  0.5000  0.5000  12 Y 3.53
B  0.0000  0.0000  0.0000  6 Y 2.50